This record from the Alexandria database describes a relaxed TiTeBr2Cl crystal. The functional is PBE.

Computed properties:
SG   P4/mmm (123)
E_tot   -15.6 eV for the cell shown
Raw formation energy   0.130 eV per atom

Cell and atoms, written as CIF:
```
data_TiTeBr2Cl
_symmetry_space_group_name_H-M 'P 1'
_symmetry_Int_Tables_number 1
_symmetry_space_group_name_Hall 'P 1'
_cell_length_a 5.486
_cell_length_b 5.581
_cell_length_c 5.486
_cell_angle_alpha 90.00
_cell_angle_beta 90.00
_cell_angle_gamma 90.00
loop_
_atom_site_label
_atom_site_type_symbol
_atom_site_fract_x
_atom_site_fract_y
_atom_site_fract_z
Cl1 Cl 0.500 0.500 0.500
Te1 Te 0.000 0.000 0.000
Br1 Br 0.000 0.000 0.500
Br2 Br 0.500 0.000 0.000
Ti1 Ti 0.000 0.500 0.000
```